# 1
VASP calculation (PBE) on AsPtSeBr2 after structural relaxation.

Summary:
The value obtained for the raw total energy is -2.6741 eV/atom. The calculation puts the distance to the lowest polymorph of the same formula at 0.353 eV per atom. Its formation energy without anion corrections is 0.830 eV/atom.

Lattice parameters (Å, degrees): 5.0593 5.0593 5.3494 90.00 90.00 90.00
Fractional coordinates of all 5 atoms:
As 0.0000 0.0000 0.0000
Pt 0.5000 0.5000 0.5000
Se 0.0000 0.0000 0.5000
Br 0.0000 0.5000 0.0000
Br 0.5000 0.0000 0.0000

# 2
VASP calculation (PBE) on As2PtSeBr after structural relaxation.

Summary:
The value obtained for the raw total energy is -2.5949 eV/atom. The calculation puts the distance to the lowest polymorph of the same formula at 0.955 eV per atom. Its formation energy without anion corrections is 1.505 eV/atom.

Lattice parameters (Å, degrees): 5.0575 5.0575 4.8812 90.00 90.00 90.00
Fractional coordinates of all 5 atoms:
As 0.0000 0.5000 0.0000
As 0.5000 0.0000 0.0000
Pt 0.0000 0.0000 0.5000
Se 0.5000 0.5000 0.5000
Br 0.5000 0.5000 0.0000

# 3
VASP calculation (PBE) on AsPtSeBr2 after structural relaxation.

Summary:
The value obtained for the raw total energy is -3.0065 eV/atom. The calculation puts the distance to the lowest polymorph of the same formula at 0.021 eV per atom. Its formation energy without anion corrections is 0.498 eV/atom.

Lattice parameters (Å, degrees): 5.1017 5.1017 5.0164 90.00 90.00 90.00
Fractional coordinates of all 5 atoms:
As 0.0000 0.0000 0.0000
Pt 0.5000 0.5000 0.5000
Se 0.5000 0.5000 0.0000
Br 0.0000 0.5000 0.5000
Br 0.5000 0.0000 0.5000

# 4
VASP calculation (PBE) on AsPtSeBr2 after structural relaxation.

Summary:
The value obtained for the raw total energy is -2.4520 eV/atom. The calculation puts the distance to the lowest polymorph of the same formula at 0.575 eV per atom. Its formation energy without anion corrections is 1.052 eV/atom.

Lattice parameters (Å, degrees): 4.9803 4.9803 5.5361 90.00 90.00 90.00
Fractional coordinates of all 5 atoms:
As 0.0000 0.0000 0.0000
Pt 0.5000 0.5000 0.0000
Se 0.0000 0.0000 0.5000
Br 0.0000 0.5000 0.5000
Br 0.5000 0.0000 0.5000

# 5
VASP calculation (PBE) on AsPtSe2Br after structural relaxation.

Summary:
The value obtained for the raw total energy is -2.3703 eV/atom. The calculation puts the distance to the lowest polymorph of the same formula at 0.973 eV per atom. Its formation energy without anion corrections is 1.496 eV/atom.

Lattice parameters (Å, degrees): 4.9780 4.9780 5.1496 90.00 90.00 90.00
Fractional coordinates of all 5 atoms:
As 0.0000 0.0000 0.0000
Pt 0.5000 0.5000 0.0000
Se 0.0000 0.5000 0.5000
Se 0.5000 0.0000 0.5000
Br 0.0000 0.0000 0.5000

# 6
VASP calculation (PBE) on AsPtSe2Br after structural relaxation.

Summary:
The value obtained for the raw total energy is -3.3209 eV/atom. The calculation puts the distance to the lowest polymorph of the same formula at 0.023 eV per atom. Its formation energy without anion corrections is 0.546 eV/atom.

Lattice parameters (Å, degrees): 4.9572 4.9572 5.0459 90.00 90.00 90.00
Fractional coordinates of all 5 atoms:
As 0.0000 0.0000 0.0000
Pt 0.5000 0.5000 0.5000
Se 0.0000 0.5000 0.5000
Se 0.5000 0.0000 0.5000
Br 0.5000 0.5000 0.0000

# 7
VASP calculation (PBE) on SiAs2PtBr after structural relaxation.

Summary:
The value obtained for the raw total energy is -3.6056 eV/atom. The calculation puts the distance to the lowest polymorph of the same formula at 0.111 eV per atom. Its formation energy without anion corrections is 0.882 eV/atom.

Lattice parameters (Å, degrees): 4.8124 4.8124 4.6574 90.00 90.00 90.00
Fractional coordinates of all 5 atoms:
Si 0.0000 0.0000 0.0000
As 0.0000 0.5000 0.0000
As 0.5000 0.0000 0.0000
Pt 0.5000 0.5000 0.5000
Br 0.0000 0.0000 0.5000

# 8
VASP calculation (PBE) on SiAs2PtBr after structural relaxation.

Summary:
The value obtained for the raw total energy is -3.7171 eV/atom. The calculation puts the distance to the lowest polymorph of the same formula at 0.000 eV per atom. Its formation energy without anion corrections is 0.770 eV/atom.

Lattice parameters (Å, degrees): 4.8777 4.8777 5.2222 90.00 90.00 90.00
Fractional coordinates of all 5 atoms:
Si 0.0000 0.0000 0.0000
As 0.0000 0.5000 0.5000
As 0.5000 0.0000 0.5000
Pt 0.5000 0.5000 0.5000
Br 0.5000 0.5000 0.0000

# 9
VASP calculation (PBE) on Si2AsPtBr after structural relaxation.

Summary:
The value obtained for the raw total energy is -3.8896 eV/atom. Its formation energy without anion corrections is 0.752 eV/atom.

Lattice parameters (Å, degrees): 5.0734 5.0734 4.6656 90.00 90.00 90.00
Fractional coordinates of all 5 atoms:
Si 0.0000 0.5000 0.0000
Si 0.5000 0.0000 0.0000
As 0.0000 0.0000 0.0000
Pt 0.0000 0.0000 0.5000
Br 0.5000 0.5000 0.5000

# 10
VASP calculation (PBE) on SnAsPtBr2 after structural relaxation.

Summary:
The value obtained for the raw total energy is -3.4493 eV/atom. The calculation puts the distance to the lowest polymorph of the same formula at 0.000 eV per atom. Its formation energy without anion corrections is 0.158 eV/atom.

Lattice parameters (Å, degrees): 5.2068 5.2068 4.9188 90.00 90.00 90.00
Fractional coordinates of all 5 atoms:
Sn 0.0000 0.0000 0.0000
As 0.5000 0.5000 0.0000
Pt 0.5000 0.5000 0.5000
Br 0.0000 0.5000 0.5000
Br 0.5000 0.0000 0.5000

# 11
VASP calculation (PBE) on SrAs2PtBr after structural relaxation.

Summary:
The value obtained for the raw total energy is -4.0776 eV/atom. The calculation puts the distance to the lowest polymorph of the same formula at 0.000 eV per atom. Its formation energy without anion corrections is -0.339 eV/atom.

Lattice parameters (Å, degrees): 4.9083 4.9083 5.5752 90.00 90.00 90.00
Fractional coordinates of all 5 atoms:
Sr 0.0000 0.0000 0.0000
As 0.0000 0.5000 0.5000
As 0.5000 0.0000 0.5000
Pt 0.5000 0.5000 0.5000
Br 0.5000 0.5000 0.0000

# 12
VASP calculation (PBE) on SrAs2PtBr after structural relaxation.

Summary:
The value obtained for the raw total energy is -2.6611 eV/atom. The calculation puts the distance to the lowest polymorph of the same formula at 1.417 eV per atom. Its formation energy without anion corrections is 1.078 eV/atom.

Lattice parameters (Å, degrees): 5.8599 5.8599 5.5089 90.00 90.00 90.00
Fractional coordinates of all 5 atoms:
Sr 0.0000 0.0000 0.0000
As 0.0000 0.5000 0.0000
As 0.5000 0.0000 0.0000
Pt 0.5000 0.5000 0.5000
Br 0.0000 0.0000 0.5000

Total magnetization readings, ordered: 0.97 0.00 0.97 0.74 0.00 0.00 0.00 0.00 0.00 0.00 0.00 1.32 Bohr magnetons per cell